# KYBe, relaxed, DFT GGA-PBE
# energy of formation from the pure elements: 11.35 kcal/mol of atoms
data_KYBe
_chemical_formula_sum 'K2 Y2 Be2'
_symmetry_space_group_name_H-M 'I 4 m m'
_symmetry_Int_Tables_number 107
_symmetry_space_group_name_Hall 'I 4 -2'
_cell_length_a 3.5839
_cell_length_b 3.5839
_cell_length_c 14.8388
_cell_angle_alpha 90.00
_cell_angle_beta 90.00
_cell_angle_gamma 90.00
loop_
_atom_site_label
_atom_site_fract_x
_atom_site_fract_y
_atom_site_fract_z
K1 0.0000 0.0000 0.0000
Y1 0.0000 0.0000 0.2515
Be1 0.0000 0.0000 0.6658